one | Entry from Alexandria via LeMat-Bulk: a geometry-optimized Ti3TlBr structure (GGA-PBE).

Unit cell a=5.282 b=5.282 c=5.282 alpha=90.00 beta=90.00 gamma=90.00
Positions (direct):
Ti: 0.000 0.000 0.500
Ti: 0.000 0.500 0.000
Ti: 0.500 0.000 0.000
Tl: 0.000 0.000 0.000
Br: 0.500 0.500 0.500

The value obtained for the density of states at the Fermi level is 6.175 states/eV per cell. As for the crystal system: cubic. The symmetry is Pm-3m, No. 221.


two | Entry from Alexandria via LeMat-Bulk: a geometry-optimized Ti3TlBr structure (GGA-PBE).

Unit cell a=4.722 b=4.722 c=4.722 alpha=90.00 beta=90.00 gamma=90.00
Positions (direct):
Ti: 0.000 0.000 0.500
Ti: 0.000 0.500 0.000
Ti: 0.500 0.000 0.000
Tl: 0.500 0.500 0.500
Br: 0.000 0.000 0.000

The value obtained for the density of states at the Fermi level is 7.254 states/eV per cell. As for the crystal system: cubic. The symmetry is Pm-3m, No. 221.


Most stable: two


one | Entry from Alexandria via LeMat-Bulk: a geometry-optimized TiTl2Br structure (GGA-PBE).

Unit cell a=5.446 b=5.446 c=5.446 alpha=60.00 beta=60.00 gamma=60.00
Positions (direct):
Ti: 0.000 0.000 0.000
Tl: 0.250 0.250 0.250
Tl: 0.750 0.750 0.750
Br: 0.500 0.500 0.500

The value obtained for the density of states at the Fermi level is 5.576 states/eV per cell. As for the crystal system: cubic. The symmetry is Fm-3m, No. 225.


two | Entry from Alexandria via LeMat-Bulk: a geometry-optimized TiTl2Br structure (GGA-PBE).

Unit cell a=7.634 b=7.634 c=7.634 alpha=96.23 beta=96.23 gamma=141.52
Positions (direct):
Ti: 0.000 0.000 0.000
Ti: 0.750 0.250 0.500
Tl: 0.005 0.625 0.880
Tl: 0.375 0.255 0.380
Tl: 0.745 0.125 0.120
Tl: 0.875 0.995 0.620
Br: 0.250 0.750 0.500
Br: 0.500 0.500 0.000

The value obtained for the density of states at the Fermi level is 6.831 states/eV per cell. As for the crystal system: tetragonal. The symmetry is I-42d, No. 122.


Most stable: two


one | Entry from Alexandria via LeMat-Bulk: a geometry-optimized TiTlBr3 structure (GGA-PBE).

Unit cell a=5.322 b=5.322 c=5.322 alpha=90.00 beta=90.00 gamma=90.00
Positions (direct):
Ti: 0.000 0.000 0.000
Tl: 0.500 0.500 0.500
Br: 0.000 0.000 0.500
Br: 0.000 0.500 0.000
Br: 0.500 0.000 0.000

The value obtained for the density of states at the Fermi level is 5.937 states/eV per cell. As for the crystal system: cubic. The symmetry is Pm-3m, No. 221.


two | Entry from Alexandria via LeMat-Bulk: a geometry-optimized TiTlBr3 structure (GGA-PBE).

Unit cell a=8.769 b=8.769 c=9.274 alpha=98.74 beta=98.74 gamma=26.70
Positions (direct):
Ti: 0.207 0.207 0.360
Ti: 0.793 0.793 0.640
Tl: 0.401 0.401 0.090
Tl: 0.599 0.599 0.910
Br: 0.068 0.068 0.176
Br: 0.249 0.249 0.808
Br: 0.353 0.353 0.498
Br: 0.647 0.647 0.502
Br: 0.751 0.751 0.192
Br: 0.932 0.932 0.824

The value obtained for the density of states at the Fermi level is 1.551 states/eV per cell. As for the crystal system: monoclinic. The symmetry is C2/m, No. 12.


Most stable: two


one | Entry from Alexandria via LeMat-Bulk: a geometry-optimized TiV2Br structure (GGA-PBE).

Unit cell a=4.421 b=4.421 c=4.421 alpha=60.00 beta=60.00 gamma=60.00
Positions (direct):
Ti: 0.000 0.000 0.000
V: 0.250 0.250 0.250
V: 0.750 0.750 0.750
Br: 0.500 0.500 0.500

The value obtained for the density of states at the Fermi level is 5.036 states/eV per cell. As for the crystal system: cubic. The symmetry is Fm-3m, No. 225.


two | Entry from Alexandria via LeMat-Bulk: a geometry-optimized TiV2Br structure (GGA-PBE).

Unit cell a=9.767 b=9.767 c=9.767 alpha=158.16 beta=158.16 gamma=31.08
Positions (direct):
Ti: 0.000 0.000 0.000
Ti: 0.750 0.250 0.500
V: 0.131 0.625 0.006
V: 0.375 0.381 0.506
V: 0.619 0.125 0.994
V: 0.875 0.869 0.494
Br: 0.250 0.750 0.500
Br: 0.500 0.500 0.000

The value obtained for the density of states at the Fermi level is 8.707 states/eV per cell. As for the crystal system: tetragonal. The symmetry is I-42d, No. 122.


Most stable: two


one | Entry from Alexandria via LeMat-Bulk: a geometry-optimized TiVBr2 structure (GGA-PBE).

Unit cell a=8.995 b=8.995 c=8.995 alpha=21.47 beta=21.47 gamma=21.47
Positions (direct):
Ti: 0.000 0.000 0.000
V: 0.500 0.500 0.500
Br: 0.401 0.401 0.401
Br: 0.599 0.599 0.599

The value obtained for the density of states at the Fermi level is 2.554 states/eV per cell. As for the crystal system: trigonal. The symmetry is R-3m, No. 166.


two | Entry from Alexandria via LeMat-Bulk: a geometry-optimized TiVBr2 structure (GGA-PBE).

Unit cell a=4.654 b=4.654 c=4.654 alpha=60.00 beta=60.00 gamma=60.00
Positions (direct):
Ti: 0.000 0.000 0.000
V: 0.500 0.500 0.500
Br: 0.250 0.250 0.250
Br: 0.750 0.750 0.750

The value obtained for the density of states at the Fermi level is 3.031 states/eV per cell. As for the crystal system: cubic. The symmetry is Fm-3m, No. 225.


Most stable: one


one | Entry from Alexandria via LeMat-Bulk: a geometry-optimized Ti2VBr2 structure (GGA-PBE).

Unit cell a=5.283 b=5.283 c=5.283 alpha=122.79 beta=122.79 gamma=85.23
Positions (direct):
Ti: 0.250 0.750 0.500
Ti: 0.750 0.250 0.500
V: 0.000 0.000 0.000
Br: 0.317 0.317 0.000
Br: 0.683 0.683 0.000

The value obtained for the density of states at the Fermi level is 6.661 states/eV per cell. As for the crystal system: tetragonal. The symmetry is I4/mmm, No. 139.


two | Entry from Alexandria via LeMat-Bulk: a geometry-optimized Ti2VBr2 structure (GGA-PBE).

Unit cell a=7.025 b=7.025 c=3.395 alpha=90.00 beta=90.00 gamma=90.00
Positions (direct):
Ti: 0.158 0.342 0.000
Ti: 0.342 0.842 0.000
Ti: 0.658 0.158 0.000
Ti: 0.842 0.658 0.000
V: 0.000 0.000 0.500
V: 0.500 0.500 0.500
Br: 0.152 0.652 0.500
Br: 0.348 0.152 0.500
Br: 0.652 0.848 0.500
Br: 0.848 0.348 0.500

The value obtained for the density of states at the Fermi level is 10.215 states/eV per cell. As for the crystal system: tetragonal. The symmetry is P4/mbm, No. 127.


Most stable: two


one | Entry from Alexandria via LeMat-Bulk: a geometry-optimized Y2TiBr structure (GGA-PBE).

Unit cell a=5.308 b=5.308 c=5.308 alpha=60.00 beta=60.00 gamma=60.00
Positions (direct):
Y: 0.250 0.250 0.250
Y: 0.750 0.750 0.750
Ti: 0.000 0.000 0.000
Br: 0.500 0.500 0.500

The value obtained for the density of states at the Fermi level is 6.052 states/eV per cell. As for the crystal system: cubic. The symmetry is Fm-3m, No. 225.


two | Entry from Alexandria via LeMat-Bulk: a geometry-optimized Y2TiBr structure (GGA-PBE).

Unit cell a=6.689 b=6.689 c=6.689 alpha=103.23 beta=103.23 gamma=122.83
Positions (direct):
Y: 0.081 0.125 0.456
Y: 0.375 0.919 0.044
Y: 0.669 0.625 0.544
Y: 0.875 0.331 0.956
Ti: 0.250 0.750 0.500
Ti: 0.500 0.500 0.000
Br: 0.000 0.000 0.000
Br: 0.750 0.250 0.500

The value obtained for the density of states at the Fermi level is 10.192 states/eV per cell. As for the crystal system: tetragonal. The symmetry is I-42d, No. 122.


Most stable: two